## SrW3I (PBE)

Data for a relaxed structure of SrW3I.

Cell lengths 4.964, 4.964, 4.964 Å; angles 90.00, 90.00, 90.00 degrees
Positions (direct):
Sr: 0.000 0.000 0.000
W: 0.000 0.000 0.500
W: 0.000 0.500 0.000
W: 0.500 0.000 0.000
I: 0.500 0.500 0.500

formation energy from raw total energies = 3.83 eV per atom
total moment = 0.0 Bohr magnetons per cell
volume = 122 Å³/cell
total DFT energy (no corrections) = -4.590 eV per atom

---

## Sr3WI (PBE)

Data for a relaxed structure of Sr3WI.

Cell lengths 5.879, 5.879, 5.879 Å; angles 90.00, 90.00, 90.00 degrees
Positions (direct):
Sr: 0.000 0.000 0.500
Sr: 0.000 0.500 0.000
Sr: 0.500 0.000 0.000
W: 0.000 0.000 0.000
I: 0.500 0.500 0.500

formation energy from raw total energies = 0.60 eV per atom
total moment = 0.0 Bohr magnetons per cell
volume = 203 Å³/cell
total DFT energy (no corrections) = -3.308 eV per atom

---

## SrWI3 (PBE)

Data for a relaxed structure of SrWI3.

Cell lengths 6.339, 6.339, 6.339 Å; angles 90.00, 90.00, 90.00 degrees
Positions (direct):
Sr: 0.000 0.000 0.000
W: 0.500 0.500 0.500
I: 0.000 0.000 0.500
I: 0.000 0.500 0.000
I: 0.500 0.000 0.000

formation energy from raw total energies = 0.57 eV per atom
total moment = 5.0 Bohr magnetons per cell
volume = 255 Å³/cell
total DFT energy (no corrections) = -3.285 eV per atom

---

## SrWI3 (PBE)

Data for a relaxed structure of SrWI3.

Cell lengths 5.643, 5.643, 5.643 Å; angles 90.00, 90.00, 90.00 degrees
Positions (direct):
Sr: 0.000 0.000 0.000
W: 0.500 0.500 0.500
I: 0.000 0.500 0.500
I: 0.500 0.000 0.500
I: 0.500 0.500 0.000

formation energy from raw total energies = 0.13 eV per atom
total moment = 3.3 Bohr magnetons per cell
volume = 180 Å³/cell
total DFT energy (no corrections) = -3.724 eV per atom

---

## SrYW2I (PBE)

Data for a relaxed structure of SrYW2I.

Cell lengths 5.005, 5.005, 7.026 Å; angles 90.00, 90.00, 90.00 degrees
Positions (direct):
Sr: 0.000 0.000 0.000
Y: 0.000 0.000 0.500
W: 0.000 0.500 0.500
W: 0.500 0.000 0.500
I: 0.500 0.500 0.000

formation energy from raw total energies = 2.05 eV per atom
total moment = 2.2 Bohr magnetons per cell
volume = 176 Å³/cell
total DFT energy (no corrections) = -5.070 eV per atom

---

## SrY2I (PBE)

Data for a relaxed structure of SrY2I.

Cell lengths 8.192, 8.192, 8.192 Å; angles 90.00, 90.00, 90.00 degrees
Positions (direct):
Sr: 0.000 0.000 0.000
Sr: 0.000 0.500 0.500
Sr: 0.500 0.000 0.500
Sr: 0.500 0.500 0.000
Y: 0.250 0.250 0.250
Y: 0.250 0.250 0.750
Y: 0.250 0.750 0.250
Y: 0.250 0.750 0.750
Y: 0.750 0.250 0.250
Y: 0.750 0.250 0.750
Y: 0.750 0.750 0.250
Y: 0.750 0.750 0.750
I: 0.000 0.000 0.500
I: 0.000 0.500 0.000
I: 0.500 0.000 0.000
I: 0.500 0.500 0.500

formation energy from raw total energies = 0.18 eV per atom
total moment = 0.0 Bohr magnetons per cell
volume = 550 Å³/cell
total DFT energy (no corrections) = -3.855 eV per atom

---

## SrYI2 (PBE)

Data for a relaxed structure of SrYI2.

Cell lengths 7.208, 7.208, 14.499 Å; angles 90.00, 90.00, 90.00 degrees
Positions (direct):
Sr: 0.000 0.000 0.000
Sr: 0.000 0.500 0.250
Sr: 0.500 0.000 0.750
Sr: 0.500 0.500 0.500
Y: 0.000 0.000 0.500
Y: 0.000 0.500 0.750
Y: 0.500 0.000 0.250
Y: 0.500 0.500 0.000
I: 0.225 0.250 0.625
I: 0.250 0.725 0.875
I: 0.250 0.775 0.375
I: 0.275 0.250 0.125
I: 0.725 0.750 0.125
I: 0.750 0.225 0.375
I: 0.750 0.275 0.875
I: 0.775 0.750 0.625

formation energy from raw total energies = -0.50 eV per atom
total moment = 0.0 Bohr magnetons per cell
volume = 753 Å³/cell
total DFT energy (no corrections) = -3.311 eV per atom

---

## SrYI2 (PBE)

Data for a relaxed structure of SrYI2.

Cell lengths 4.091, 4.091, 33.699 Å; angles 90.00, 90.00, 120.00 degrees
Positions (direct):
Sr: 0.000 0.000 0.000
Sr: 0.333 0.667 0.667
Sr: 0.667 0.333 0.333
Y: 0.000 0.000 0.500
Y: 0.333 0.667 0.167
Y: 0.667 0.333 0.833
I: 0.000 0.000 0.106
I: 0.000 0.000 0.894
I: 0.333 0.667 0.561
I: 0.333 0.667 0.772
I: 0.667 0.333 0.228
I: 0.667 0.333 0.439

formation energy from raw total energies = -0.83 eV per atom
total moment = 0.0 Bohr magnetons per cell
volume = 489 Å³/cell
total DFT energy (no corrections) = -3.644 eV per atom

---

## SrYI6 (PBE)

Data for a relaxed structure of SrYI6.

Cell lengths 7.887, 7.890, 8.117 Å; angles 61.43, 61.36, 60.05 degrees
Positions (direct):
Sr: 0.000 0.000 0.000
Y: 0.500 0.500 0.500
I: 0.085 0.444 0.748
I: 0.274 0.917 0.256
I: 0.447 0.721 0.751
I: 0.553 0.279 0.249
I: 0.726 0.083 0.744
I: 0.915 0.556 0.252

formation energy from raw total energies = -1.20 eV per atom
total moment = 0.0 Bohr magnetons per cell
volume = 365 Å³/cell
total DFT energy (no corrections) = -3.384 eV per atom

---

## SrY2I (PBE)

Data for a relaxed structure of SrY2I.

Cell lengths 9.447, 9.447, 6.715 Å; angles 90.00, 90.00, 90.00 degrees
Positions (direct):
Sr: 0.000 0.000 0.000
Sr: 0.000 0.500 0.250
Sr: 0.500 0.000 0.750
Sr: 0.500 0.500 0.500
Y: 0.186 0.250 0.625
Y: 0.250 0.686 0.875
Y: 0.250 0.814 0.375
Y: 0.314 0.250 0.125
Y: 0.686 0.750 0.125
Y: 0.750 0.186 0.375
Y: 0.750 0.314 0.875
Y: 0.814 0.750 0.625
I: 0.000 0.000 0.500
I: 0.000 0.500 0.750
I: 0.500 0.000 0.250
I: 0.500 0.500 0.000

formation energy from raw total energies = -0.05 eV per atom
total moment = 0.0 Bohr magnetons per cell
volume = 599 Å³/cell
total DFT energy (no corrections) = -4.095 eV per atom

---

## SrYI2 (PBE)

Data for a relaxed structure of SrYI2.

Cell lengths 7.906, 7.906, 7.906 Å; angles 90.00, 90.00, 90.00 degrees
Positions (direct):
Sr: 0.000 0.000 0.000
Sr: 0.000 0.500 0.500
Sr: 0.500 0.000 0.500
Sr: 0.500 0.500 0.000
Y: 0.000 0.000 0.500
Y: 0.000 0.500 0.000
Y: 0.500 0.000 0.000
Y: 0.500 0.500 0.500
I: 0.250 0.250 0.250
I: 0.250 0.250 0.750
I: 0.250 0.750 0.250
I: 0.250 0.750 0.750
I: 0.750 0.250 0.250
I: 0.750 0.250 0.750
I: 0.750 0.750 0.250
I: 0.750 0.750 0.750

formation energy from raw total energies = -0.70 eV per atom
total moment = 4.3 Bohr magnetons per cell
volume = 494 Å³/cell
total DFT energy (no corrections) = -3.515 eV per atom

---

## SrZnI4 (PBE)

Data for a relaxed structure of SrZnI4.

Cell lengths 8.900, 8.900, 8.900 Å; angles 105.65, 105.65, 117.41 degrees
Positions (direct):
Sr: 0.375 0.625 0.750
Sr: 0.625 0.375 0.250
Zn: 0.125 0.875 0.250
Zn: 0.875 0.125 0.750
I: 0.120 0.686 0.434
I: 0.247 0.314 0.934
I: 0.314 0.247 0.434
I: 0.314 0.880 0.066
I: 0.686 0.120 0.934
I: 0.686 0.753 0.566
I: 0.753 0.686 0.066
I: 0.880 0.314 0.566

formation energy from raw total energies = -1.09 eV per atom
total moment = 0.0 Bohr magnetons per cell
volume = 535 Å³/cell
total DFT energy (no corrections) = -2.619 eV per atom

---

## SrZnI (PBE)

Data for a relaxed structure of SrZnI.

Cell lengths 7.640, 4.808, 13.047 Å; angles 90.00, 94.99, 90.00 degrees
Positions (direct):
Sr: 0.212 0.000 0.304
Sr: 0.288 0.500 0.696
Sr: 0.712 0.500 0.304
Sr: 0.788 0.000 0.696
Zn: 0.000 0.251 0.500
Zn: 0.000 0.749 0.500
Zn: 0.500 0.249 0.500
Zn: 0.500 0.751 0.500
I: 0.161 0.000 0.845
I: 0.339 0.500 0.155
I: 0.661 0.500 0.845
I: 0.839 0.000 0.155

formation energy from raw total energies = -0.80 eV per atom
total moment = 0.0 Bohr magnetons per cell
volume = 477 Å³/cell
total DFT energy (no corrections) = -2.305 eV per atom

---

## SrZnI3 (PBE)

Data for a relaxed structure of SrZnI3.

Cell lengths 6.447, 6.447, 6.447 Å; angles 90.00, 90.00, 90.00 degrees
Positions (direct):
Sr: 0.000 0.000 0.000
Zn: 0.500 0.500 0.500
I: 0.000 0.000 0.500
I: 0.000 0.500 0.000
I: 0.500 0.000 0.000

formation energy from raw total energies = -0.64 eV per atom
total moment = 1.0 Bohr magnetons per cell
volume = 268 Å³/cell
total DFT energy (no corrections) = -2.160 eV per atom

---

## SrZnI4 (PBE)

Data for a relaxed structure of SrZnI4.

Cell lengths 7.932, 4.510, 16.893 Å; angles 90.00, 115.89, 90.00 degrees
Positions (direct):
Sr: 0.000 0.000 0.000
Sr: 0.000 0.500 0.500
Zn: 0.500 0.000 0.500
Zn: 0.500 0.500 0.000
I: 0.087 0.001 0.383
I: 0.087 0.499 0.883
I: 0.462 0.610 0.610
I: 0.462 0.890 0.110
I: 0.538 0.110 0.890
I: 0.538 0.390 0.390
I: 0.913 0.501 0.117
I: 0.913 0.999 0.617

formation energy from raw total energies = -1.03 eV per atom
total moment = 0.0 Bohr magnetons per cell
volume = 544 Å³/cell
total DFT energy (no corrections) = -2.560 eV per atom

---

## SrZnI3 (PBE)

Data for a relaxed structure of SrZnI3.

Cell lengths 5.683, 5.683, 5.683 Å; angles 90.00, 90.00, 90.00 degrees
Positions (direct):
Sr: 0.000 0.000 0.000
Zn: 0.500 0.500 0.500
I: 0.000 0.500 0.500
I: 0.500 0.000 0.500
I: 0.500 0.500 0.000

formation energy from raw total energies = -0.76 eV per atom
total moment = 0.0 Bohr magnetons per cell
volume = 183 Å³/cell
total DFT energy (no corrections) = -2.280 eV per atom

---

## Sr3ZnI (PBE)

Data for a relaxed structure of Sr3ZnI.

Cell lengths 6.170, 6.170, 6.170 Å; angles 90.00, 90.00, 90.00 degrees
Positions (direct):
Sr: 0.000 0.000 0.500
Sr: 0.000 0.500 0.000
Sr: 0.500 0.000 0.000
Zn: 0.000 0.000 0.000
I: 0.500 0.500 0.500

formation energy from raw total energies = -0.33 eV per atom
total moment = 0.0 Bohr magnetons per cell
volume = 235 Å³/cell
total DFT energy (no corrections) = -1.903 eV per atom

---

## SrZnI2 (PBE)

Data for a relaxed structure of SrZnI2.

Cell lengths 8.237, 8.237, 8.237 Å; angles 90.00, 90.00, 90.00 degrees
Positions (direct):
Sr: 0.000 0.000 0.000
Sr: 0.000 0.500 0.500
Sr: 0.500 0.000 0.500
Sr: 0.500 0.500 0.000
Zn: 0.000 0.000 0.500
Zn: 0.000 0.500 0.000
Zn: 0.500 0.000 0.000
Zn: 0.500 0.500 0.500
I: 0.250 0.250 0.250
I: 0.250 0.250 0.750
I: 0.250 0.750 0.250
I: 0.250 0.750 0.750
I: 0.750 0.250 0.250
I: 0.750 0.250 0.750
I: 0.750 0.750 0.250
I: 0.750 0.750 0.750

formation energy from raw total energies = -0.93 eV per atom
total moment = 0.0 Bohr magnetons per cell
volume = 559 Å³/cell
total DFT energy (no corrections) = -2.446 eV per atom

---

## SrZn2I6 (PBE)

Data for a relaxed structure of SrZn2I6.

Cell lengths 10.810, 10.810, 7.676 Å; angles 107.61, 107.61, 82.47 degrees
Positions (direct):
Sr: 0.248 0.752 0.750
Sr: 0.752 0.248 0.250
Zn: 0.121 0.302 0.643
Zn: 0.302 0.121 0.143
Zn: 0.698 0.879 0.857
Zn: 0.879 0.698 0.357
I: 0.077 0.220 0.264
I: 0.105 0.644 0.296
I: 0.220 0.077 0.764
I: 0.304 0.463 0.826
I: 0.356 0.895 0.204
I: 0.463 0.304 0.326
I: 0.537 0.696 0.674
I: 0.644 0.105 0.796
I: 0.696 0.537 0.174
I: 0.780 0.923 0.236
I: 0.895 0.356 0.704
I: 0.923 0.780 0.736

formation energy from raw total energies = -0.92 eV per atom
total moment = 0.0 Bohr magnetons per cell
volume = 814 Å³/cell
total DFT energy (no corrections) = -2.420 eV per atom

---

## SrZrZnI2 (PBE)

Data for a relaxed structure of SrZrZnI2.

Cell lengths 6.286, 6.286, 6.840 Å; angles 90.00, 90.00, 90.00 degrees
Positions (direct):
Sr: 0.000 0.000 0.000
Zr: 0.000 0.000 0.500
Zn: 0.500 0.500 0.500
I: 0.000 0.500 0.000
I: 0.500 0.000 0.000

formation energy from raw total energies = 0.46 eV per atom
total moment = 3.5 Bohr magnetons per cell
volume = 270 Å³/cell
total DFT energy (no corrections) = -2.456 eV per atom